(1)
VASP calculation (PBE) on an optimized crystal structure of TlRuRh2O8.

Results
Formation energy without anion corrections   -0.6960 eV/atom
Electronic total energy   -6.197 eV per atom
Magnetization   0.00 μB per formula unit

Cell and atoms, written as CIF:
```
data_TlRuRh2O8
_chemical_formula_sum 'Tl1 Ru1 Rh2 O8'
_cell_length_a 4.661
_cell_length_b 6.514
_cell_length_c 4.665
_cell_angle_alpha 90.00
_cell_angle_beta 90.53
_cell_angle_gamma 90.00
_space_group_name_H-M_alt 'P 1 2/m 1'
_space_group_IT_number 10
loop_
_space_group_symop_operation_xyz
'x,y,z'
'-x,-y,-z'
'-x,y,-z'
'x,-y,z'
loop_
_atom_site_label
_atom_site_fract_x
_atom_site_fract_y
_atom_site_fract_z
_atom_site_occupancy
Tl1 0.000 0.000 0.000 1
Ru1 0.000 0.500 0.000 1
Rh1 0.500 0.257 0.500 1
O1 0.201 0.280 0.200 1
O2 0.301 0.500 0.698 1
O3 0.325 0.000 0.673 1
```

=====

(2)
VASP calculation (PBE) on an optimized crystal structure of MnTePb.

Results
Formation energy without anion corrections   0.1301 eV/atom
Electronic total energy   -5.210 eV per atom
Excess energy over the best structure of this formula in the dataset   0.113 eV per atom
Magnetization   3.65 μB per formula unit

Cell and atoms, written as CIF:
```
data_MnTePb
_chemical_formula_sum 'Mn2 Te2 Pb2'
_cell_length_a 3.592
_cell_length_b 3.592
_cell_length_c 11.852
_cell_angle_alpha 90.00
_cell_angle_beta 90.00
_cell_angle_gamma 90.00
_space_group_name_H-M_alt 'I 4 m m'
_space_group_IT_number 107
_space_group_name_Hall 'I 4 -2'
loop_
_atom_site_label
_atom_site_fract_x
_atom_site_fract_y
_atom_site_fract_z
_atom_site_occupancy
Mn1 0.000 0.000 0.000 1
Te1 0.000 0.000 0.600 1
Pb1 0.000 0.000 0.331 1
```

=====

(3)
VASP calculation (PBE) on an optimized crystal structure of Ho2TiGe2Rh5.

Results
Calculated formation energy   -824.0 meV/atom
Electronic total energy   -7.128 eV per atom
Magnetization   0.00 μB per formula unit

Cell and atoms, written as CIF:
```
data_Ho2TiGe2Rh5
_chemical_formula_sum 'Ho4 Ti2 Ge4 Rh10'
_cell_length_a 9.721
_cell_length_b 9.721
_cell_length_c 3.591
_cell_angle_alpha 90.00
_cell_angle_beta 90.00
_cell_angle_gamma 90.00
_space_group_name_H-M_alt 'P 4/m b m'
_space_group_IT_number 127
_space_group_name_Hall '-P 4 2ab'
loop_
_atom_site_label
_atom_site_fract_x
_atom_site_fract_y
_atom_site_fract_z
_atom_site_occupancy
Ho1 0.173 0.327 0.000 1
Ti1 0.000 0.000 0.000 1
Ge1 0.126 0.626 0.000 1
Rh1 0.000 0.500 0.500 1
Rh2 0.066 0.796 0.500 1
```

=====

(4)
VASP calculation (PBE) on an optimized crystal structure of Ac2UO6.

Results
Formation energy without anion corrections   -3.3408 eV/atom
Electronic total energy   -8.813 eV per atom
Excess energy over the best structure of this formula in the dataset   0.021 eV per atom
Magnetization   0.00 μB per formula unit

Cell and atoms, written as CIF:
```
data_Ac2UO6
_chemical_formula_sum 'Ac4 U2 O12'
_cell_length_a 5.396
_cell_length_b 5.396
_cell_length_c 11.296
_cell_angle_alpha 90.00
_cell_angle_beta 90.00
_cell_angle_gamma 90.00
_space_group_name_H-M_alt 'P 42/m n m'
_space_group_IT_number 136
_space_group_name_Hall '-P 4n 2n'
loop_
_atom_site_label
_atom_site_fract_x
_atom_site_fract_y
_atom_site_fract_z
_atom_site_occupancy
Ac1 0.000 0.000 0.166 1
U1 0.000 0.000 0.500 1
O1 0.177 0.177 0.355 1
O2 0.226 0.226 0.000 1
```